Computed, not measured: a geometry-optimized LiPmInBi structure at the PBE-GGA level of DFT.

```
LiPmInBi
1.0
0.0000 3.7965 3.7965
3.7965 0.0000 3.7965
3.7965 3.7965 0.0000
Li Pm In Bi
1 1 1 1
Cartesian
0.0000 0.0000 0.0000
3.7965 3.7965 3.7965
5.6948 5.6948 5.6948
1.8983 1.8983 1.8983
```

Calculated values
magnetic moment = 0.0 μB/f.u.
electronic total energy = -3.693 eV per atom
calculated volume = 27.4 Å³/atom